Record 1
Compound: K2NpI4O2
Source: Alexandria
Functional: PBE
Structure: relaxed

Results
Mass density in kg/m³: 3866
Raw total energy in Ry/atom: -0.3749
Total moment in μB/f.u.: 1.00
Density of states at the Fermi level in states/eV per cell: 2.79

Structure (POSCAR):
```
K2NpI4O2
1.0
-7.202 0.939 -0.984
0.769 -6.145 -3.921
-0.334 -5.758 4.523
K Np I O
2 1 4 2
direct
0.357 0.657 0.657
0.643 0.343 0.343
0.500 0.000 0.000
0.234 0.640 0.150
0.766 0.850 0.360
0.766 0.360 0.850
0.234 0.150 0.640
0.409 0.131 0.131
0.591 0.869 0.869
```

---

Record 2
Compound: K2Np2I2O5
Source: Alexandria
Functional: PBE
Structure: relaxed

Results
Mass density in kg/m³: 5583
Raw total energy in Ry/atom: -0.5386
Total moment in μB/f.u.: 4.00
Density of states at the Fermi level in states/eV per cell: 10.79

Structure (POSCAR):
```
K2Np2I2O5
1.0
-2.227 -3.512 1.071
1.424 -1.981 -3.534
11.663 -2.171 8.524
K Np I O
2 2 2 5
direct
0.354 0.354 0.709
0.646 0.646 0.291
0.072 0.072 0.144
0.928 0.928 0.856
0.188 0.188 0.377
0.812 0.812 0.623
0.000 0.000 0.000
0.579 0.079 0.158
0.921 0.421 0.842
0.079 0.579 0.158
0.421 0.921 0.842
```

---

Record 3
Compound: K2NpPbI8
Source: Alexandria
Functional: PBE
Structure: relaxed

Results
Mass density in kg/m³: 4232
Raw total energy in Ry/atom: -0.2607
Total moment in μB/f.u.: 2.91
Density of states at the Fermi level in states/eV per cell: 3.97

Structure (POSCAR):
```
K2NpPbI8
1.0
8.288 -0.113 -0.004
-0.210 7.561 -0.008
0.004 0.013 9.630
K Np Pb I
2 1 1 8
direct
0.500 0.500 0.746
0.500 0.500 0.254
0.000 0.000 0.000
0.000 0.000 0.500
0.128 0.768 0.228
0.687 0.789 0.000
0.872 0.231 0.228
0.872 0.232 0.772
0.313 0.211 0.000
0.128 0.769 0.772
0.679 0.762 0.500
0.321 0.238 0.500
```

---

Record 4
Compound: KRb2NpI8
Source: Alexandria
Functional: PBE
Structure: relaxed

Results
Mass density in kg/m³: 3714
Raw total energy in Ry/atom: -0.2487
Total moment in μB/f.u.: 2.80
Density of states at the Fermi level in states/eV per cell: 13.96

Structure (POSCAR):
```
KRb2NpI8
1.0
7.359 -1.513 -0.013
-1.738 8.515 0.009
-0.005 0.015 10.891
K Rb Np I
1 2 1 8
direct
0.000 0.000 0.500
0.504 0.498 0.746
0.496 0.502 0.254
0.000 0.000 0.000
0.043 0.777 0.195
0.576 0.804 0.998
0.954 0.220 0.195
0.957 0.223 0.805
0.424 0.196 0.002
0.046 0.780 0.805
0.503 0.774 0.501
0.497 0.226 0.499
```

---

Record 5
Compound: KRbNpI6
Source: Alexandria
Functional: PBE
Structure: relaxed

Results
Mass density in kg/m³: 3817
Raw total energy in Ry/atom: -0.2798
Total moment in μB/f.u.: 3.00
Density of states at the Fermi level in states/eV per cell: 9.79

Structure (POSCAR):
```
KRbNpI6
1.0
8.689 0.000 0.000
-4.344 7.525 0.000
0.000 0.000 14.947
K Rb Np I
2 2 2 12
direct
0.333 0.667 0.250
0.667 0.333 0.750
0.000 0.000 0.000
0.000 0.000 0.500
0.667 0.333 0.250
0.333 0.667 0.750
0.660 0.612 0.132
0.952 0.340 0.132
0.340 0.952 0.632
0.048 0.660 0.868
0.388 0.340 0.368
0.952 0.612 0.368
0.612 0.952 0.868
0.660 0.048 0.368
0.048 0.388 0.632
0.388 0.048 0.132
0.612 0.660 0.632
0.340 0.388 0.868
```

---

Record 6
Compound: K2RbNpI6
Source: Alexandria
Functional: PBE
Structure: relaxed

Results
Mass density in kg/m³: 3930
Raw total energy in Ry/atom: -0.2779
Total moment in μB/f.u.: 4.00
Density of states at the Fermi level in states/eV per cell: 8.74

Structure (POSCAR):
```
K2RbNpI6
1.0
8.441 0.000 -0.082
0.000 9.259 0.000
-0.043 0.000 12.564
K Rb Np I
4 2 2 12
direct
0.040 0.905 0.247
0.540 0.595 0.747
0.960 0.095 0.753
0.460 0.405 0.253
0.500 0.000 0.000
0.000 0.500 0.500
0.500 0.000 0.500
0.000 0.500 0.000
0.298 0.672 0.074
0.798 0.828 0.574
0.702 0.328 0.926
0.202 0.172 0.426
0.347 0.710 0.423
0.847 0.790 0.923
0.653 0.290 0.577
0.153 0.210 0.077
0.854 0.559 0.224
0.354 0.941 0.724
0.146 0.441 0.776
0.646 0.059 0.276
```

---

Record 7
Compound: KNpSn2I8
Source: Alexandria
Functional: PBE
Structure: relaxed

Results
Mass density in kg/m³: 4571
Raw total energy in Ry/atom: -0.2661
Total moment in μB/f.u.: 4.00
Density of states at the Fermi level in states/eV per cell: 4.51

Structure (POSCAR):
```
KNpSn2I8
1.0
7.800 0.042 -0.005
0.089 7.430 -0.007
0.007 0.013 9.583
K Np Sn I
1 1 2 8
direct
0.000 0.000 0.500
0.000 0.000 0.000
0.500 0.500 0.748
0.500 0.500 0.252
0.157 0.746 0.226
0.673 0.757 0.000
0.843 0.254 0.226
0.843 0.254 0.774
0.327 0.243 0.000
0.157 0.746 0.774
0.633 0.731 0.500
0.367 0.269 0.500
```

---

Record 8
Compound: KSrNpI6
Source: Alexandria
Functional: PBE
Structure: relaxed

Results
Mass density in kg/m³: 4087
Raw total energy in Ry/atom: -0.2982
Total moment in μB/f.u.: 4.00
Density of states at the Fermi level in states/eV per cell: 9.44

Structure (POSCAR):
```
KSrNpI6
1.0
-1.528 7.063 4.160
2.274 -6.870 4.142
14.587 3.983 -1.403
K Sr Np I
2 2 2 12
direct
0.000 0.000 0.000
0.000 0.000 0.500
0.333 0.667 0.250
0.667 0.333 0.750
0.667 0.333 0.250
0.333 0.667 0.750
0.647 0.632 0.133
0.985 0.353 0.133
0.353 0.985 0.633
0.015 0.647 0.867
0.368 0.353 0.367
0.985 0.632 0.367
0.632 0.985 0.867
0.647 0.015 0.367
0.015 0.368 0.633
0.368 0.015 0.133
0.632 0.647 0.633
0.353 0.368 0.867
```

---

Record 9
Compound: K2SrNpI8
Source: Alexandria
Functional: PBE
Structure: relaxed

Results
Mass density in kg/m³: 3825
Raw total energy in Ry/atom: -0.2678
Total moment in μB/f.u.: 2.94
Density of states at the Fermi level in states/eV per cell: 5.02

Structure (POSCAR):
```
K2SrNpI8
1.0
8.214 -0.142 -0.004
-0.227 7.660 -0.009
0.005 0.012 9.790
K Sr Np I
2 1 1 8
direct
0.500 0.500 0.747
0.500 0.500 0.253
0.000 0.000 0.500
0.000 0.000 0.000
0.130 0.771 0.223
0.685 0.789 0.000
0.869 0.229 0.223
0.870 0.229 0.777
0.315 0.211 0.000
0.131 0.771 0.777
0.677 0.755 0.500
0.323 0.245 0.500
```

---

Record 10
Compound: K2NpTlI8
Source: Alexandria
Functional: PBE
Structure: relaxed

Results
Mass density in kg/m³: 4098
Raw total energy in Ry/atom: -0.2476
Total moment in μB/f.u.: 2.61
Density of states at the Fermi level in states/eV per cell: 13.51

Structure (POSCAR):
```
K2NpTlI8
1.0
7.834 -0.308 0.013
-0.298 7.598 -0.020
0.026 0.005 10.464
K Np Tl I
2 1 1 8
direct
0.499 0.497 0.760
0.501 0.503 0.240
0.000 0.000 0.000
0.000 0.000 0.500
0.125 0.773 0.205
0.663 0.790 0.998
0.872 0.224 0.207
0.875 0.227 0.795
0.337 0.210 0.002
0.128 0.776 0.793
0.679 0.710 0.501
0.321 0.290 0.499
```

---

Record 11
Compound: KNpTlI6
Source: Alexandria
Functional: PBE
Structure: relaxed

Results
Mass density in kg/m³: 4562
Raw total energy in Ry/atom: -0.2769
Total moment in μB/f.u.: 3.00
Density of states at the Fermi level in states/eV per cell: 9.09

Structure (POSCAR):
```
KNpTlI6
1.0
8.548 0.000 0.000
-4.274 7.403 0.000
0.000 0.000 14.288
K Np Tl I
2 2 2 12
direct
0.333 0.667 0.250
0.667 0.333 0.750
0.667 0.333 0.250
0.333 0.667 0.750
0.000 0.000 0.000
0.000 0.000 0.500
0.670 0.621 0.127
0.952 0.330 0.127
0.330 0.952 0.627
0.048 0.670 0.873
0.379 0.330 0.373
0.952 0.621 0.373
0.621 0.952 0.873
0.670 0.048 0.373
0.048 0.379 0.627
0.379 0.048 0.127
0.621 0.670 0.627
0.330 0.379 0.873
```

---

Record 12
Compound: KNpVI6
Source: Alexandria
Functional: PBE
Structure: relaxed

Results
Mass density in kg/m³: 4481
Raw total energy in Ry/atom: -0.3270
Total moment in μB/f.u.: 7.00
Density of states at the Fermi level in states/eV per cell: 10.12

Structure (POSCAR):
```
KNpVI6
1.0
-7.373 -1.276 -1.390
2.757 -0.904 7.035
-3.281 15.404 3.265
K Np V I
2 2 2 12
direct
0.000 0.000 0.000
0.000 0.000 0.500
0.667 0.333 0.250
0.333 0.667 0.750
0.333 0.667 0.250
0.667 0.333 0.750
0.627 0.652 0.143
0.025 0.373 0.143
0.373 0.025 0.643
0.975 0.627 0.857
0.348 0.373 0.357
0.025 0.652 0.357
0.652 0.025 0.857
0.627 0.975 0.357
0.975 0.348 0.643
0.348 0.975 0.143
0.652 0.627 0.643
0.373 0.348 0.857
```

---

What is the formula in the tenth record?
K2NpTlI8